Gd2CdSn | PBE | optimized geometry

Computed properties:
The value obtained for the spin magnetization is 15.2 μB per formula unit. The value obtained for the final energy is -8.58 eV per atom. As for the formation energy: -0.311 eV per atom.

a b c (Å): 3.6264 3.6264 30.1771
angles (deg): 90.00 90.00 120.00
Closest atoms and distances in Å follow each position.
Space group R-3m (No. 166, hexagonal axes)
Unique sites:
Gd1 0.0000 0.0000 0.2503 (multiplicity 6)  3 Cd 3.26, 3 Sn 3.28, 6 Gd 3.63
Cd1 0.0000 0.0000 0.0000 (multiplicity 3)  6 Gd 3.26, 6 Cd 3.63
Sn1 0.0000 0.0000 0.5000 (multiplicity 3)  6 Gd 3.28, 6 Sn 3.63

***

La2PmAg2Pb2 | PBE | optimized geometry

Computed properties:
The value obtained for the spin magnetization is 0.0 μB per formula unit. The value obtained for the final energy is -4.28 eV per atom. As for the formation energy: -0.315 eV per atom.

a b c (Å): 4.9307 4.9307 27.5813
angles (deg): 90.00 90.00 120.00
Closest atoms and distances in Å follow each position.
Space group R-3m (No. 166, hexagonal axes)
Unique sites:
La1 0.0000 0.0000 0.1390 (multiplicity 6)  3 Ag 3.09, 3 La 3.23
Pm1 0.0000 0.0000 0.0000 (multiplicity 3)  6 Pb 3.34
Ag1 0.0000 0.0000 0.4289 (multiplicity 6)  3 Pb 2.99, 3 La 3.09
Pb1 0.0000 0.0000 0.2703 (multiplicity 6)  3 Ag 2.99, 3 Pm 3.34

***

Dy3ThS4 | PBE | optimized geometry

Computed properties:
The value obtained for the spin magnetization is 0.0 μB per formula unit. For the energy relative to the elements, uncorrected, the calculation gives -1.940 eV/atom. The value obtained for the final energy is -6.66 eV per atom.

a b c (Å): 7.9340 11.1568 3.9142
angles (deg): 90.00 90.00 90.00
Closest atoms and distances in Å follow each position.
Space group Cmmm (No. 65)
Unique sites:
Dy1 0.0000 0.0000 0.0000 (multiplicity 2)  6 S 2.73-2.74
Dy2 0.2500 0.2500 0.5000 (multiplicity 4)  6 S 2.79
Th1 0.0000 0.5000 0.0000 (multiplicity 2)  6 S 2.84
S1 0.0000 0.2454 0.0000 (multiplicity 4)  5 Dy 2.74-2.79, 1 Th 2.84
S2 0.2404 0.0000 0.5000 (multiplicity 4)  4 Dy 2.73-2.79, 2 Th 2.84

***

Ba2SrInP | PBE | optimized geometry

Computed properties:
The value obtained for the spin magnetization is 1.5 μB per formula unit. The value obtained for the final energy is -3.26 eV per atom. As for the formation energy: -0.527 eV per atom.

a b c (Å): 6.2456 6.2456 5.8294
angles (deg): 90.00 90.00 90.00
Closest atoms and distances in Å follow each position.
Space group P4/mmm (No. 123)
Unique sites:
Ba1 0.0000 0.5000 0.0000 (multiplicity 2)  2 P 3.12
Sr1 0.0000 0.0000 0.5000 (multiplicity 1)  2 P 2.91
In1 0.5000 0.5000 0.5000 (multiplicity 1)  8 Ba 4.27, 4 Sr 4.42
P1 0.0000 0.0000 0.0000 (multiplicity 1)  2 Sr 2.91, 4 Ba 3.12

***

CoRhSe | PBE | optimized geometry

Computed properties:
The value obtained for the spin magnetization is 1.8 μB per formula unit. Its excess energy over the best structure of this formula in the dataset is 164 meV/atom. For the energy relative to the elements, uncorrected, the calculation gives 0.212 eV/atom. The value obtained for the final energy is -5.77 eV per atom.

a b c (Å): 3.4320 3.4430 7.3813
angles (deg): 90.00 90.00 90.00
Closest atoms and distances in Å follow each position.
Space group Imm2 (No. 44)
Unique sites:
Co1 0.0000 0.0000 0.0000 (multiplicity 2)  1 Se 2.34, 1 Rh 2.56
Rh1 0.0000 0.0000 0.3471 (multiplicity 2)  5 Se 2.48-2.71, 5 Co 2.56-2.68
Se1 0.0000 0.0000 0.6837 (multiplicity 2)  1 Co 2.34, 1 Rh 2.48